(1)
The following is a PBE calculation of an optimized crystal structure of Na5Hg3, from Alexandria.

```
Na5Hg3
1.0
4.249 -5.096 0.000
4.249 5.096 0.000
0.000 0.000 5.040
Na Hg
5 3
Cartesian
0.000 0.000 0.000
2.125 2.548 0.000
2.397 0.000 2.520
2.125 -2.548 0.000
6.102 0.000 2.520
4.249 2.778 2.520
4.249 0.000 0.000
4.249 -2.778 2.520
```

Calculated values
formation energy from the elements = -1.548 eV/f.u.
symmetry = No. 65
size of the total moment = 0.000 μB/cell

***

(2)
The following is a PBE calculation of an optimized crystal structure of CuCl3, from Alexandria.

```
CuCl3
1.0
3.582 0.000 0.000
0.000 3.610 0.000
-0.030 0.000 7.443
Cu Cl
1 3
Cartesian
0.000 0.000 0.000
-0.015 1.805 3.721
1.776 0.000 3.721
1.791 1.805 0.000
```

Calculated values
symmetry = No. 10
E_form (uncorrected) = 43 kJ/mol of formula units
size of the total moment = 0.000 μB/cell

***

(3)
The following is a PBE calculation of an optimized crystal structure of CuPtI2, from Alexandria.

```
CuPtI2
1.0
-3.051 3.051 6.120
3.051 -3.051 6.120
3.051 3.051 -6.120
Cu Pt I
2 2 4
Cartesian
0.000 0.000 0.000
0.000 3.051 3.060
3.051 0.000 3.060
0.000 0.000 6.120
4.576 1.478 -1.530
1.478 1.525 1.530
-1.525 1.572 4.590
1.572 1.525 7.650
```

Calculated values
symmetry = No. 122
E_form (uncorrected) = 68 kJ/mol of formula units
size of the total moment = 0.000 μB/cell

***

(4)
The following is a PBE calculation of an optimized crystal structure of NbMoRu3, from Alexandria.

```
NbMoRu3
1.0
4.588 0.000 0.000
0.000 4.588 0.000
0.000 0.000 4.588
Nb Mo Ru
1 1 3
Cartesian
0.000 0.000 0.000
2.294 2.294 2.294
0.000 2.294 2.294
2.294 0.000 2.294
2.294 2.294 0.000
```

Calculated values
formation energy from the elements = 7.369 eV/f.u.
symmetry = No. 221
size of the total moment = 0.000 μB/cell

***

(5)
The following is a PBE calculation of an optimized crystal structure of NdSm3Sb2, from Alexandria.

```
NdSm3Sb2
1.0
4.559 0.000 0.000
0.000 4.559 0.000
0.000 0.000 8.775
Nd Sm Sb
1 3 2
Cartesian
0.000 0.000 0.000
0.000 2.280 3.117
2.280 0.000 5.658
2.280 2.280 0.000
0.000 2.280 6.308
2.280 0.000 2.466
```

Calculated values
symmetry = No. 115
E_form (uncorrected) = -471 kJ/mol of formula units
size of the total moment = 0.000 μB/cell

***

(6)
The following is a PBE calculation of an optimized crystal structure of NaMgAu4, from Alexandria.

```
NaMgAu4
1.0
0.000 3.942 3.942
3.942 0.000 3.942
3.942 3.942 0.000
Na Mg Au
1 1 4
Cartesian
0.000 0.000 0.000
1.971 1.971 1.971
4.927 2.957 2.957
2.957 4.927 2.957
2.957 2.957 4.927
4.927 4.927 4.927
```

Calculated values
formation energy from the elements = -1.749 eV/f.u.
symmetry = No. 216
size of the total moment = 0.000 μB/cell

***

(7)
The following is a PBE calculation of an optimized crystal structure of CoMo2As, from Alexandria.

```
CoMo2As
1.0
2.779 0.000 0.000
0.000 3.965 0.000
-1.228 0.000 5.242
Co Mo As
1 2 1
Cartesian
0.000 0.000 0.000
0.344 1.982 3.974
1.208 1.982 1.268
-0.614 0.000 2.621
```

Calculated values
formation energy from the elements = 0.538 eV/f.u.
symmetry = No. 10
size of the total moment = 0.489 μB/cell

***

(8)
The following is a PBE calculation of an optimized crystal structure of Dy7Zn2Ag2, from Alexandria.

```
Dy7Zn2Ag2
1.0
3.747 -5.397 0.000
3.747 5.397 0.000
0.000 0.000 7.606
Dy Zn Ag
7 2 2
Cartesian
0.000 0.000 0.000
1.874 2.699 2.181
1.874 2.699 5.425
1.874 -2.699 2.181
1.874 -2.699 5.425
3.747 0.000 2.077
3.747 0.000 5.529
1.253 0.000 3.803
6.241 0.000 3.803
3.747 2.208 0.000
3.747 -2.208 0.000
```

Calculated values
formation energy from the elements = 0.548 eV/f.u.
symmetry = No. 65
size of the total moment = 0.000 μB/cell